Nd3PuTe6 | PBE | optimized geometry

Its uncorrected formation energy is -1.29 eV/atom.

It has space group P2_1/m (No. 11), with a = 12.740 Å, b = 4.465 Å, c = 13.076 Å, α = 90.00°, β = 109.15° and γ = 90.00°. The inequivalent atoms are Nd at (0.075, 0.250, 0.167), Nd at (0.182, 0.750, 0.503), Nd at (0.345, 0.250, 0.923), Pu at (0.458, 0.250, 0.310), Te at (0.014, 0.250, 0.380), Te at (0.103, 0.250, 0.934), Te at (0.255, 0.750, 0.283), Te at (0.310, 0.750, 0.750), Te at (0.389, 0.250, 0.537) and Te at (0.417, 0.750, 0.106).


LiGaAg | PBE | optimized geometry

For the formation energy, the calculation gives -0.217 eV/atom.

It has space group P3m1 (No. 156), with a = 4.5161 Å, b = 4.5161 Å, c = 2.8948 Å, α = 90.00°, β = 90.00° and γ = 120.00°. The inequivalent atoms are Li at (0.0000, 0.0000, 0.0000), Ga at (0.3333, 0.6667, 0.5020) and Ag at (0.6667, 0.3333, 0.4978).


TcMo3H7 | PBE | optimized geometry

It has space group Cm (No. 8), with a = 6.156 Å, b = 6.134 Å, c = 5.318 Å, α = 90.00°, β = 125.26° and γ = 90.00°. The inequivalent atoms are Tc at (0.000, 0.000, 0.000), Mo at (0.013, 0.500, 0.990), Mo at (0.022, 0.268, 0.528), H at (0.135, 0.000, 0.761), H at (0.137, 0.248, 0.258), H at (0.376, 0.000, 0.238), H at (0.390, 0.256, 0.766) and H at (0.395, 0.500, 0.268).


Sr3Sn3Hg2 | PBE | optimized geometry

For the formation energy, the calculation gives -0.566 eV/atom.

It has space group Cmcm (No. 63), with a = 5.093 Å, b = 11.821 Å, c = 16.510 Å, α = 90.00°, β = 90.00° and γ = 90.00°. The inequivalent atoms are Sr at (0.000, 0.095, 0.109), Sr at (0.000, 0.365, 0.250), Sn at (0.000, 0.343, 0.750), Sn at (0.000, 0.384, 0.034) and Hg at (0.000, 0.201, 0.603).


ZrInAs | PBE | optimized geometry

For the formation energy, the calculation gives 0.066 eV/atom. As for the distance to the lowest polymorph of the same formula: 709 meV/atom.

It has space group F-43m (No. 216), with a = 6.713 Å, b = 6.713 Å, c = 6.713 Å, α = 90.00°, β = 90.00° and γ = 90.00°. The inequivalent atoms are Zr at (0.000, 0.000, 0.000), In at (0.250, 0.250, 0.250) and As at (0.250, 0.250, 0.750).


Sr2Bi2Rh | PBE | optimized geometry

For the formation energy, the calculation gives 0.113 eV/atom. As for the distance to the lowest polymorph of the same formula: 760 meV/atom.

It has space group P4/mbm (No. 127), with a = 8.977 Å, b = 8.977 Å, c = 4.048 Å, α = 90.00°, β = 90.00° and γ = 90.00°. The inequivalent atoms are Sr at (0.135, 0.365, 0.000), Bi at (0.175, 0.675, 0.500) and Rh at (0.000, 0.000, 0.000).


InHg3F | PBE | optimized geometry

Its uncorrected formation energy is -0.19 eV/atom.

It has space group Pm-3m (No. 221), with a = 5.661 Å, b = 5.661 Å, c = 5.661 Å, α = 90.00°, β = 90.00° and γ = 90.00°. The inequivalent atoms are In at (0.000, 0.000, 0.000), Hg at (0.000, 0.000, 0.500) and F at (0.500, 0.500, 0.500).


YScAs2O8 | PBE | optimized geometry

Its uncorrected formation energy is -2.27 eV/atom.

It has space group I-4m2 (No. 119), with a = 7.019 Å, b = 7.019 Å, c = 6.262 Å, α = 90.00°, β = 90.00° and γ = 90.00°. The inequivalent atoms are Y at (0.000, 0.000, 0.000), Sc at (0.000, 0.500, 0.750), As at (0.000, 0.000, 0.500), As at (0.000, 0.500, 0.250), O at (0.000, 0.187, 0.678) and O at (0.000, 0.321, 0.064).


Number 1: uncorrected energy -6.040 eV per atom. Number 2: uncorrected energy -2.814 eV per atom. Number 3: uncorrected energy -5.963 eV per atom. Number 4: uncorrected energy -2.773 eV per atom. Number 5: uncorrected energy -5.246 eV per atom. Number 6: uncorrected energy -3.582 eV per atom. Number 7: uncorrected energy -1.290 eV per atom. Number 8: uncorrected energy -7.422 eV per atom.